Below is crystalline LiLa6Ag at its relaxed geometry, with properties calculated at the PBE level.

M_tot	0.00	Bohr magnetons per cell
calculated total energy	-4.327	eV/atom
ΔH_f (0 K)	-36.1	meV per atom

```
LiLa6Ag
1.0
0.0000 3.7749 9.0372
3.7665 0.0000 9.0372
3.7665 3.7749 0.0000
Li La Ag
1 6 1
direct
0.0000 0.0000 0.0000 Li
0.1109 0.1109 0.3891 La
0.2478 0.2478 0.7522 La
0.3891 0.3891 0.1109 La
0.6109 0.6109 0.8891 La
0.7522 0.7522 0.2478 La
0.8891 0.8891 0.6109 La
0.5000 0.5000 0.5000 Ag
```

---

Below is crystalline K3Ba12Pd5 at its relaxed geometry, with properties calculated at the PBE level.

M_tot	0.00	Bohr magnetons per cell
calculated total energy	-2.695	eV/atom
ΔH_f (0 K)	-79.0	meV per atom

```
K3Ba12Pd5
1.0
-10.4919 10.4919 10.4919
10.4919 -10.4919 10.4919
10.4919 10.4919 -10.4919
K Ba Pd
12 48 20
direct
0.1250 0.2500 0.3750 K
0.1250 0.3750 0.7500 K
0.2500 0.3750 0.1250 K
0.2500 0.8750 0.6250 K
0.3750 0.1250 0.2500 K
0.3750 0.7500 0.1250 K
0.6250 0.2500 0.8750 K
0.6250 0.8750 0.7500 K
0.7500 0.1250 0.3750 K
0.7500 0.6250 0.8750 K
0.8750 0.6250 0.2500 K
0.8750 0.7500 0.6250 K
0.0052 0.1884 0.0988 Ba
0.0052 0.3168 0.9064 Ba
0.0896 0.6884 0.6832 Ba
0.0896 0.9012 0.4064 Ba
0.0936 0.5988 0.4104 Ba
0.0936 0.9948 0.6832 Ba
0.0988 0.0052 0.1884 Ba
0.0988 0.5936 0.9104 Ba
0.1832 0.1884 0.5896 Ba
0.1832 0.4948 0.5936 Ba
0.1884 0.0988 0.0052 Ba
0.1884 0.5896 0.1832 Ba
0.3116 0.3168 0.9104 Ba
0.3116 0.4948 0.4012 Ba
0.3168 0.9064 0.0052 Ba
0.3168 0.9104 0.3116 Ba
0.4012 0.3116 0.4948 Ba
0.4012 0.5896 0.9064 Ba
0.4064 0.0896 0.9012 Ba
0.4064 0.8168 0.5052 Ba
0.4104 0.0936 0.5988 Ba
0.4104 0.8168 0.8116 Ba
0.4948 0.4012 0.3116 Ba
0.4948 0.5936 0.1832 Ba
0.5052 0.4064 0.8168 Ba
0.5052 0.5988 0.6884 Ba
0.5896 0.1832 0.1884 Ba
0.5896 0.9064 0.4012 Ba
0.5936 0.1832 0.4948 Ba
0.5936 0.9104 0.0988 Ba
0.5988 0.4104 0.0936 Ba
0.5988 0.6884 0.5052 Ba
0.6832 0.0896 0.6884 Ba
0.6832 0.0936 0.9948 Ba
0.6884 0.5052 0.5988 Ba
0.6884 0.6832 0.0896 Ba
0.8116 0.4104 0.8168 Ba
0.8116 0.9012 0.9948 Ba
0.8168 0.5052 0.4064 Ba
0.8168 0.8116 0.4104 Ba
0.9012 0.4064 0.0896 Ba
0.9012 0.9948 0.8116 Ba
0.9064 0.0052 0.3168 Ba
0.9064 0.4012 0.5896 Ba
0.9104 0.0988 0.5936 Ba
0.9104 0.3116 0.3168 Ba
0.9948 0.6832 0.0936 Ba
0.9948 0.8116 0.9012 Ba
0.0000 0.0000 0.0000 Pd
0.0000 0.0000 0.5000 Pd
0.0000 0.5000 0.0000 Pd
0.0000 0.5000 0.5000 Pd
0.1250 0.7500 0.8750 Pd
0.1250 0.8750 0.2500 Pd
0.2500 0.1250 0.8750 Pd
0.2500 0.6250 0.3750 Pd
0.3750 0.2500 0.6250 Pd
0.3750 0.6250 0.7500 Pd
0.5000 0.0000 0.0000 Pd
0.5000 0.0000 0.5000 Pd
0.5000 0.5000 0.0000 Pd
0.5000 0.5000 0.5000 Pd
0.6250 0.3750 0.2500 Pd
0.6250 0.7500 0.3750 Pd
0.7500 0.3750 0.6250 Pd
0.7500 0.8750 0.1250 Pd
0.8750 0.1250 0.7500 Pd
0.8750 0.2500 0.1250 Pd
```

---

Below is crystalline Rb2UCd2O6 at its relaxed geometry, with properties calculated at the PBE level.

M_tot	0.00	Bohr magnetons per cell
calculated total energy	-6.031	eV/atom
uncorrected formation energy	-1958	meV per atom

```
Rb2UCd2O6
1.0
3.0129 -5.0282 0.0000
3.0129 5.0282 0.0000
-2.3753 0.0000 6.6740
Rb U Cd O
2 1 2 6
direct
0.1768 0.8232 0.0000 Rb
0.8232 0.1768 0.0000 Rb
0.0000 0.0000 0.5000 U
0.3361 0.6639 0.5000 Cd
0.6639 0.3361 0.5000 Cd
0.0555 0.3594 0.6795 O
0.2340 0.2340 0.3282 O
0.3594 0.0555 0.6795 O
0.6406 0.9445 0.3205 O
0.7660 0.7660 0.6718 O
0.9445 0.6406 0.3205 O
```